Entry 1:
## LiGaPdAu (PBE)

Data for a geometry-optimized LiGaPdAu structure.

Results
Calculated volume, A^3/atom: 14.87
Calculated total energy, eV/f.u.: -15.62
Distance to the lowest polymorph of the same formula, meV per atom: 0

abc: 4.3814 4.3814 4.3814
angles: 60.00 60.00 60.00
With the nearest neighbours (Å) after each atom.
Fractional positions:
1 Li 0.7500 0.7500 0.7500  4 Pd 2.68, 4 Au 2.68
2 Ga 0.2500 0.2500 0.2500  4 Pd 2.68, 4 Au 2.68
3 Au 0.0000 0.0000 0.0000  4 Ga 2.68, 4 Li 2.68
4 Pd 0.5000 0.5000 0.5000  4 Ga 2.68, 4 Li 2.68

---

Entry 2:
## LuTlNiS3 (PBE)

Data for a geometry-optimized LuTlNiS3 structure.

Results
Calculated volume, A^3/atom: 22.81
Calculated total energy, eV/f.u.: -30.90
Distance to the lowest polymorph of the same formula, meV per atom: 32
Magnetization, μB per cell: 3.24

abc: 7.3477 7.3477 10.0886
angles: 90.00 90.00 30.17
With the nearest neighbours (Å) after each atom.
Fractional positions:
1 S 0.6213 0.6213 0.9292  1 Ni 2.26
2 S 0.3787 0.3787 0.0708  1 Ni 2.26
3 S 0.9393 0.9393 0.7500  2 Ni 2.28
4 S 0.6213 0.6213 0.5708  1 Ni 2.26
5 Tl 0.2517 0.2517 0.7500  6 S 3.22-3.28
6 Tl 0.7483 0.7483 0.2500  6 S 3.22-3.28
7 S 0.0607 0.0607 0.2500  2 Ni 2.28
8 S 0.3787 0.3787 0.4292  1 Ni 2.26
9 Lu 0.0000 0.0000 0.5000  6 S 2.67
10 Ni 0.4738 0.4738 0.2500  4 S 2.26-2.28
11 Lu 0.0000 0.0000 0.0000  6 S 2.67
12 Ni 0.5262 0.5262 0.7500  4 S 2.26-2.28

---

Entry 3:
## Pm2PdAu2 (PBE)

Data for a geometry-optimized Pm2PdAu2 structure.

Results
Calculated volume, A^3/atom: 23.63
Calculated total energy, eV/f.u.: -25.36
Magnetization, μB per cell: 0.00

abc: 5.7088 5.7088 11.7024
angles: 108.94 108.94 41.35
With the nearest neighbours (Å) after each atom.
Fractional positions:
1 Pm 0.4952 0.4952 0.6603  3 Pd 3.02-3.14, 6 Au 3.12-3.26
2 Pm 0.5048 0.5048 0.3397  3 Pd 3.02-3.14, 6 Au 3.12-3.26
3 Au 0.9569 0.9569 0.1097  1 Pd 2.81, 3 Pm 2.96-3.12, 1 Au 3.01
4 Au 0.0431 0.0431 0.8903  1 Pd 2.81, 3 Pm 2.96-3.12, 1 Au 3.01
5 Au 0.1491 0.1491 0.5465  3 Pd 2.78-3.04, 1 Au 2.99
6 Pm 0.3187 0.3187 0.8869  5 Au 2.96-3.22, 2 Pd 2.98
7 Pd 0.1998 0.1998 0.3063  4 Au 2.78-3.04, 4 Pm 2.98-3.02
8 Au 0.8509 0.8509 0.4535  3 Pd 2.78-3.04, 1 Au 2.99
9 Pd 0.8002 0.8002 0.6937  4 Au 2.78-3.04, 4 Pm 2.98-3.02
10 Pm 0.6813 0.6813 0.1131  5 Au 2.96-3.22, 2 Pd 2.98

---

Entry 4:
## PrGd2Cd3AgPt2 (PBE)

Data for a geometry-optimized PrGd2Cd3AgPt2 structure.

Results
Calculated volume, A^3/atom: 22.93
Calculated total energy, eV/f.u.: -38.22
Magnetization, μB per cell: 0.00

abc: 3.9298 7.7979 7.7979
angles: 120.29 90.00 90.00
With the nearest neighbours (Å) after each atom.
Fractional positions:
1 Cd 0.0000 0.7431 0.7431  2 Ag 2.79, 2 Pt 2.96
2 Cd 0.0000 0.9980 0.2582  2 Ag 2.83, 2 Pt 2.88-2.95
3 Pr 0.5000 0.4147 0.4147  4 Pt 3.10, 6 Cd 3.22-3.45, 1 Ag 3.24
4 Pt 0.0000 0.3324 0.6717  3 Cd 2.88-2.96, 4 Gd 3.03-3.05, 2 Pr 3.10
5 Pt 0.0000 0.6717 0.3324  3 Cd 2.88-2.96, 4 Gd 3.03-3.05, 2 Pr 3.10
6 Ag 0.5000 0.9978 0.9978  6 Cd 2.79-2.83
7 Gd 0.5000 0.5845 0.9997  4 Pt 3.03-3.05, 2 Cd 3.21, 1 Ag 3.23
8 Gd 0.5000 0.9997 0.5845  4 Pt 3.03-3.05, 2 Cd 3.21, 1 Ag 3.23
9 Cd 0.0000 0.2582 0.9980  2 Ag 2.83, 2 Pt 2.88-2.95

---

Entry 5:
## PrHfNO (PBE)

Data for a geometry-optimized PrHfNO structure.

Results
Calculated volume, A^3/atom: 17.45
Calculated total energy, eV/f.u.: -35.91
Distance to the lowest polymorph of the same formula, meV per atom: 24
Magnetization, μB per cell: 0.12

abc: 3.8970 5.5451 6.4610
angles: 90.00 90.00 90.00
With the nearest neighbours (Å) after each atom.
Fractional positions:
1 O 0.5000 0.9721 0.7815  2 Hf 2.06
2 Pr 0.5000 0.4535 0.8367  2 O 2.47-2.69, 2 N 2.50
3 N 0.0000 0.3446 0.6119  2 Hf 2.02-2.05
4 Hf 0.0000 0.9838 0.6778  2 N 2.02-2.05, 2 O 2.06
5 Hf 0.0000 0.4838 0.3222  2 N 2.02-2.05, 2 O 2.06
6 Pr 0.5000 0.9535 0.1633  2 O 2.47-2.69, 2 N 2.50
7 O 0.5000 0.4721 0.2185  2 Hf 2.06
8 N 0.0000 0.8446 0.3881  2 Hf 2.02-2.05

---

Entry 6:
## Ho2Al (PBE)

Data for a geometry-optimized Ho2Al structure.

Results
Calculated volume, A^3/atom: 87.04
Calculated total energy, eV/f.u.: -8.08
Magnetization, μB per cell: 0.01

abc: 9.0391 9.0391 9.0391
angles: 60.00 60.00 60.00
With the nearest neighbours (Å) after each atom.
Fractional positions:
1 Ho 0.3750 0.8750 0.3750  2 Al 2.77
2 Ho 0.8750 0.3750 0.3750  2 Al 2.77
3 Ho 0.3750 0.3750 0.8750  2 Al 2.77
4 Al 0.5000 0.5000 0.5000  4 Ho 2.77
5 Al 0.2500 0.2500 0.2500  4 Ho 2.77
6 Ho 0.3750 0.3750 0.3750  2 Al 2.77

---

Entry 7:
## Nd3Ag4Ge4 (PBE)

Data for a geometry-optimized Nd3Ag4Ge4 structure.

Results
Calculated volume, A^3/atom: 21.68
Calculated total energy, eV/f.u.: -50.20
Magnetization, μB per cell: 0.01

abc: 8.5546 8.5546 8.5546
angles: 149.76 130.34 59.25
With the nearest neighbours (Å) after each atom.
Fractional positions:
1 Ge 0.3184 0.5000 0.8184  1 Ge 2.61, 2 Ag 2.65
2 Ge 0.7833 0.7833 0.0000  6 Ag 2.73-2.79
3 Ge 0.2167 0.2167 0.0000  6 Ag 2.73-2.79
4 Ag 0.0274 0.3324 0.6950  4 Ge 2.65-2.79, 1 Ag 2.80
5 Ag 0.6374 0.3324 0.3050  4 Ge 2.65-2.79, 1 Ag 2.80
6 Nd 0.3719 0.8719 0.5000  6 Ag 3.18-3.34, 6 Ge 3.21
7 Nd 0.0000 0.0000 0.0000  6 Ge 3.20-3.22
8 Ge 0.6816 0.5000 0.1816  1 Ge 2.61, 2 Ag 2.65
9 Ag 0.9726 0.6676 0.3050  4 Ge 2.65-2.79, 1 Ag 2.80
10 Nd 0.6281 0.1281 0.5000  6 Ag 3.18-3.34, 6 Ge 3.21
11 Ag 0.3626 0.6676 0.6950  4 Ge 2.65-2.79, 1 Ag 2.80

---

Entry 8:
## Rb2LaPrO4 (PBE)

Data for a geometry-optimized Rb2LaPrO4 structure.

Results
Calculated volume, A^3/atom: 19.02
Calculated total energy, eV/f.u.: -51.95
Magnetization, μB per cell: 0.01

abc: 3.6783 3.6783 12.9866
angles: 90.00 90.00 120.00
With the nearest neighbours (Å) after each atom.
Fractional positions:
1 O 0.3333 0.6667 0.0929  3 Pr 2.44
2 La 0.0000 0.0000 0.5000  6 O 2.44
3 O 0.3333 0.6667 0.4073  3 La 2.44
4 Rb 0.6667 0.3333 0.2490  6 O 2.94-2.96
5 Pr 0.0000 0.0000 0.0000  6 O 2.44
6 Rb 0.3333 0.6667 0.7510  6 O 2.94-2.96
7 O 0.6667 0.3333 0.5927  3 La 2.44
8 O 0.6667 0.3333 0.9071  3 Pr 2.44

---

Entry 9:
## LiAgF2 (PBE)

Data for a geometry-optimized LiAgF2 structure.

Results
Calculated volume, A^3/atom: 13.78
Calculated total energy, eV/f.u.: -14.99
Distance to the lowest polymorph of the same formula, meV per atom: 106

abc: 6.7019 6.7019 6.7019
angles: 27.10 27.10 27.10
With the nearest neighbours (Å) after each atom.
Fractional positions:
1 F 0.0848 0.0848 0.0848  1 Li 1.64
2 Li 0.0000 0.0000 0.0000  2 F 1.64
3 Ag 0.5000 0.5000 0.5000  6 F 2.41
4 F 0.9152 0.9152 0.9152  1 Li 1.64

---

Entry 10:
## Nd2Os2O5 (PBE)

Data for a geometry-optimized Nd2Os2O5 structure.

Results
Calculated volume, A^3/atom: 12.40
Calculated total energy, eV/f.u.: -71.87
Distance to the lowest polymorph of the same formula, meV per atom: 0
Magnetization, μB per cell: 0.09

abc: 7.0621 3.9753 3.9753
angles: 90.00 90.00 90.00
With the nearest neighbours (Å) after each atom.
Fractional positions:
1 Nd 0.5000 0.0000 0.0000  12 O 2.71-2.81
2 O 0.2382 0.0000 0.5000  2 Os 2.02
3 O 0.5000 0.5000 0.5000  2 Os 2.19
4 O 0.7618 0.5000 0.0000  2 Os 2.02
5 O 0.2382 0.5000 0.0000  2 Os 2.02
6 O 0.7618 0.0000 0.5000  2 Os 2.02
7 Os 0.1898 0.5000 0.5000  5 O 2.02-2.19
8 Nd 0.0000 0.0000 0.0000  8 O 2.60
9 Os 0.8102 0.5000 0.5000  5 O 2.02-2.19

---

Entry 11:
## KNbZnTe3 (PBE)

Data for a geometry-optimized KNbZnTe3 structure.

Results
Calculated volume, A^3/atom: 30.29
Calculated total energy, eV/f.u.: -24.67
Magnetization, μB per cell: 3.98

abc: 8.3008 8.3008 11.0345
angles: 90.00 90.00 151.44
With the nearest neighbours (Å) after each atom.
Fractional positions:
1 Te 0.1247 0.8753 0.9539  1 Zn 2.65, 2 Nb 2.91
2 Te 0.4307 0.5693 0.7500  2 Zn 2.68, 2 Nb 2.98
3 Nb 0.5000 0.5000 0.5000  6 Te 2.91-2.98
4 Te 0.8753 0.1247 0.0461  1 Zn 2.65, 2 Nb 2.91
5 Te 0.1247 0.8753 0.5461  1 Zn 2.65, 2 Nb 2.91
6 Te 0.8753 0.1247 0.4539  1 Zn 2.65, 2 Nb 2.91
7 K 0.2561 0.7439 0.2500  8 Te 3.60-3.89, 2 Zn 3.90
8 Nb 0.5000 0.5000 0.0000  6 Te 2.91-2.98
9 Te 0.5693 0.4307 0.2500  2 Zn 2.68, 2 Nb 2.98
10 Zn 0.0379 0.9621 0.7500  4 Te 2.65-2.68
11 Zn 0.9621 0.0379 0.2500  4 Te 2.65-2.68
12 K 0.7439 0.2561 0.7500  8 Te 3.60-3.89, 2 Zn 3.90

---

Entry 12:
## CsTlRe (PBE)

Data for a geometry-optimized CsTlRe structure.

Results
Calculated volume, A^3/atom: 42.04
Calculated total energy, eV/f.u.: -8.79
Distance to the lowest polymorph of the same formula, meV per atom: 470
Magnetization, μB per cell: 3.26

abc: 5.6289 5.6289 5.6289
angles: 60.00 60.00 60.00
With the nearest neighbours (Å) after each atom.
Fractional positions:
1 Cs 0.0000 0.0000 0.0000  4 Re 3.45, 4 Tl 3.45
2 Re 0.2500 0.2500 0.2500  4 Cs 3.45
3 Tl 0.7500 0.7500 0.7500  4 Cs 3.45